NaTaBe: relaxed, GGA-PBE.

Properties
The calculation puts the total moment at 0.0 Bohr magnetons per cell. The value obtained for the energy of formation is 0.533 eV per atom.

abc: 3.702 4.294 9.401
angles: 83.01 89.48 64.53
Fractional coordinates of all 6 atoms:
Na 0.000 0.000 0.000
Na 0.339 0.353 0.299
Ta 0.019 0.980 0.578
Ta 0.674 0.664 0.752
Be 0.340 0.336 0.655
Be 0.704 0.615 0.504